VASP calculation (PBE-GGA) on a relaxed structure of Sr2In2Bi.

Computed properties:
relative energy among the computed polymorphs: 0.248 eV per atom
theoretical density: 5.59 g cm⁻³
ΔE_f: -0.22 eV per atom
final energy: -2.761 eV/atom

Cell lengths 9.469, 9.469, 4.071 Å; angles 90.00, 90.00, 90.00 degrees
Space group P4/mbm (No. 127)
Symmetry-distinct sites (fractional):
Sr: 0.187 0.313 0.000 [4 per cell]
In: 0.113 0.613 0.500 [4 per cell]
Bi: 0.000 0.000 0.000 [2 per cell]

---

VASP calculation (PBE-GGA) on a relaxed structure of SrAc2Sm.

Computed properties:
relative energy among the computed polymorphs: 0.004 eV per atom
theoretical density: 6.58 g cm⁻³
ΔE_f: 0.06 eV per atom
final energy: -3.596 eV/atom

Cell lengths 3.9476, 3.9476, 38.8061 Å; angles 90.00, 90.00, 120.00 degrees
Space group R3m (No. 160, hexagonal axes)
Symmetry-distinct sites (fractional):
Sr: 0.0000 0.0000 0.0000 [3 per cell]
Ac: 0.0000 0.0000 0.4222 [3 per cell]
Ac: 0.0000 0.0000 0.5763 [3 per cell]
Sm: 0.0000 0.0000 0.8326 [3 per cell]

---

VASP calculation (PBE-GGA) on a relaxed structure of ZnPbI2O8.

Computed properties:
theoretical density: 6.03 g cm⁻³
final energy: -4.333 eV/atom

Cell lengths 5.2701, 5.2701, 22.4660 Å; angles 90.00, 90.00, 120.00 degrees
Space group R32 (No. 155, hexagonal axes)
Symmetry-distinct sites (fractional):
Zn: 0.0000 0.0000 0.0000 [3 per cell]
Pb: 0.0000 0.0000 0.5000 [3 per cell]
I: 0.0000 0.0000 0.2643 [6 per cell]
O: 0.0000 0.0000 0.1835 [6 per cell]
O: 0.0121 0.3674 0.7296 [18 per cell]

---

VASP calculation (PBE-GGA) on a relaxed structure of NdNi4P2.

Computed properties:
theoretical density: 7.73 g cm⁻³
ΔE_f: -0.76 eV per atom
final energy: -6.290 eV/atom

Cell lengths 7.225, 7.225, 3.631 Å; angles 90.00, 90.00, 90.00 degrees
Space group P4_2/mnm (No. 136)
Symmetry-distinct sites (fractional):
Nd: 0.000 0.000 0.000 [2 per cell]
Ni: 0.087 0.340 0.500 [8 per cell]
P: 0.221 0.779 0.500 [4 per cell]

---

VASP calculation (PBE-GGA) on a relaxed structure of Pm2TmPuO8.

Computed properties:
theoretical density: 8.46 g cm⁻³
final energy: -8.684 eV/atom

Cell lengths 3.962, 5.513, 7.507 Å; angles 88.07, 89.54, 84.02 degrees
Space group P-1 (No. 2)
Symmetry-distinct sites (fractional):
Pm: 0.000 0.014 0.239 [2 per cell]
Tm: 0.500 0.500 0.000 [1 per cell]
Pu: 0.500 0.500 0.500 [1 per cell]
O: 0.017 0.744 0.013 [2 per cell]
O: 0.069 0.718 0.504 [2 per cell]
O: 0.450 0.282 0.716 [2 per cell]
O: 0.461 0.259 0.265 [2 per cell]

---

VASP calculation (PBE-GGA) on a relaxed structure of LaHg2Br.

Computed properties:
relative energy among the computed polymorphs: 0.127 eV per atom
theoretical density: 7.98 g cm⁻³
final energy: -2.380 eV/atom

Cell lengths 9.298, 9.298, 5.971 Å; angles 90.00, 90.00, 90.00 degrees
Space group I-42d (No. 122)
Symmetry-distinct sites (fractional):
La: 0.000 0.000 0.000 [4 per cell]
Hg: 0.230 0.250 0.125 [8 per cell]
Br: 0.000 0.000 0.500 [4 per cell]